DFT (GGA-PBE) results for a geometry-optimized V2SnIr structure.

## Properties
As for the total energy: -7.51 eV/atom. The magnetization is 0.000 μB/cell. For the density of states at the Fermi level, the calculation gives 15.74 states/eV/cell. The formation energy is 0.270 eV/atom.

a b c (Å): 7.1834 7.1834 5.4304
angles (deg): 90.00 90.00 90.00
Closest atoms and distances in Å follow each position.
Element x y z (fractional)
V  0.2089  0.2500  0.1250  2 Ir 2.44
V  0.2500  0.7089  0.3750  2 Ir 2.44
V  0.2500  0.7911  0.8750  2 Ir 2.44
V  0.2911  0.2500  0.6250  2 Ir 2.44
V  0.7089  0.7500  0.6250  2 Ir 2.44
V  0.7500  0.2089  0.8750  2 Ir 2.44
V  0.7500  0.2911  0.3750  2 Ir 2.44
V  0.7911  0.7500  0.1250  2 Ir 2.44
Sn  0.0000  0.0000  0.5000  2 Ir 2.72, 4 V 2.84
Sn  0.0000  0.5000  0.7500  2 Ir 2.72, 4 V 2.84
Sn  0.5000  0.0000  0.2500  2 Ir 2.72, 4 V 2.84
Sn  0.5000  0.5000  0.0000  2 Ir 2.72, 4 V 2.84
Ir  0.0000  0.0000  0.0000  4 V 2.44, 2 Sn 2.72
Ir  0.0000  0.5000  0.2500  4 V 2.44, 2 Sn 2.72
Ir  0.5000  0.0000  0.7500  4 V 2.44, 2 Sn 2.72
Ir  0.5000  0.5000  0.5000  4 V 2.44, 2 Sn 2.72

=====

DFT (GGA-PBE) results for a geometry-optimized HoTm5 structure.

## Properties
As for the total energy: -4.46 eV/atom. The magnetization is 0.000 μB/cell. For the density of states at the Fermi level, the calculation gives 16.45 states/eV/cell. The formation energy is 0.027 eV/atom.

a b c (Å): 6.0477 10.4287 6.0497
angles (deg): 90.00 109.47 90.00
Closest atoms and distances in Å follow each position.
Element x y z (fractional)
Ho  0.0005  0.2500  0.2503  12 Tm 3.47-3.49
Ho  0.9995  0.7500  0.7497  12 Tm 3.47-3.49
Tm  0.0001  0.0832  0.7502  3 Ho 3.47-3.49, 9 Tm 3.48-3.49
Tm  0.0001  0.4168  0.7502  3 Ho 3.47-3.49, 9 Tm 3.48-3.49
Tm  0.9999  0.5832  0.2498  3 Ho 3.47-3.49, 9 Tm 3.48-3.49
Tm  0.9999  0.9168  0.2498  3 Ho 3.47-3.49, 9 Tm 3.48-3.49
Tm  0.5002  0.0832  0.2502  10 Tm 3.47-3.49, 2 Ho 3.49
Tm  0.5003  0.2500  0.7504  10 Tm 3.47-3.49, 2 Ho 3.49
Tm  0.5002  0.4168  0.2502  10 Tm 3.47-3.49, 2 Ho 3.49
Tm  0.4998  0.5832  0.7498  10 Tm 3.47-3.49, 2 Ho 3.49
Tm  0.4997  0.7500  0.2496  10 Tm 3.47-3.49, 2 Ho 3.49
Tm  0.4998  0.9168  0.7498  10 Tm 3.47-3.49, 2 Ho 3.49

=====

DFT (GGA-PBE) results for a geometry-optimized Tb2PrEr4 structure.

## Properties
As for the total energy: -4.49 eV/atom. The magnetization is 0.000 μB/cell. For the density of states at the Fermi level, the calculation gives 22.28 states/eV/cell. The energy relative to the lowest polymorph listed for this composition comes out at 88 meV/atom. The formation energy is 0.124 eV/atom.

a b c (Å): 6.0701 6.5625 11.5143
angles (deg): 90.00 104.06 90.00
Closest atoms and distances in Å follow each position.
Element x y z (fractional)
Tb  0.1038  0.2500  0.4890  2 Pr 3.33-3.34, 3 Er 3.42-3.63, 2 Tb 3.55
Tb  0.3433  0.7500  0.0487  9 Er 3.26-3.53
Tb  0.6567  0.2500  0.9513  9 Er 3.26-3.53
Tb  0.8962  0.7500  0.5110  2 Pr 3.33-3.34, 3 Er 3.42-3.63, 2 Tb 3.55
Pr  0.4548  0.7500  0.6348  6 Er 3.31-3.47, 2 Tb 3.33-3.34
Pr  0.5452  0.2500  0.3652  6 Er 3.31-3.47, 2 Tb 3.33-3.34
Er  0.1549  0.0085  0.7899  4 Er 3.17-3.46, 1 Pr 3.31, 2 Tb 3.38-3.53
Er  0.1549  0.4915  0.7899  4 Er 3.17-3.46, 1 Pr 3.31, 2 Tb 3.38-3.53
Er  0.2178  0.2500  0.0786  4 Tb 3.34-3.40, 1 Pr 3.41, 4 Er 3.46-3.62
Er  0.3547  0.7500  0.3333  2 Tb 3.26-3.42, 3 Pr 3.38-3.47, 2 Er 3.46
Er  0.6453  0.2500  0.6667  2 Tb 3.26-3.42, 3 Pr 3.38-3.47, 2 Er 3.46
Er  0.7822  0.7500  0.9214  4 Tb 3.34-3.40, 1 Pr 3.41, 4 Er 3.46-3.62
Er  0.8451  0.5085  0.2101  4 Er 3.17-3.46, 1 Pr 3.31, 2 Tb 3.38-3.53
Er  0.8451  0.9915  0.2101  4 Er 3.17-3.46, 1 Pr 3.31, 2 Tb 3.38-3.53

=====

DFT (GGA-PBE) results for a geometry-optimized Y5Sb structure.

## Properties
As for the total energy: -6.38 eV/atom. The magnetization is 0.395 μB/cell. For the density of states at the Fermi level, the calculation gives 7.94 states/eV/cell. The energy relative to the lowest polymorph listed for this composition comes out at 0 meV/atom. Its formation energy (no corrections) is -177 kJ/mol of formula units.

a b c (Å): 4.0523 4.0523 11.1454
angles (deg): 90.00 90.00 90.00
Closest atoms and distances in Å follow each position.
Element x y z (fractional)
Y  0.0000  0.0000  0.0000  8 Y 3.45
Y  0.0000  0.0000  0.3551  5 Y 3.23-3.52, 4 Sb 3.29
Y  0.0000  0.0000  0.6449  5 Y 3.23-3.52, 4 Sb 3.29
Y  0.5000  0.5000  0.1717  9 Y 3.45-3.83, 1 Sb 3.66
Y  0.5000  0.5000  0.8283  9 Y 3.45-3.83, 1 Sb 3.66
Sb  0.5000  0.5000  0.5000  10 Y 3.29-3.66

=====

DFT (GGA-PBE) results for a geometry-optimized Mg4CrBr structure.

## Properties
As for the total energy: -2.61 eV/atom. The magnetization is 4.227 μB/cell. For the density of states at the Fermi level, the calculation gives 3.97 states/eV/cell. Its formation energy (no corrections) is 195 kJ/mol of formula units.

a b c (Å): 5.9175 5.9175 5.9175
angles (deg): 60.00 60.00 60.00
Closest atoms and distances in Å follow each position.
Element x y z (fractional)
Mg  0.3764  0.3764  0.3764  6 Mg 2.93-2.99
Mg  0.3764  0.3764  0.8708  6 Mg 2.93-2.99
Mg  0.3764  0.8708  0.3764  6 Mg 2.93-2.99
Mg  0.8708  0.3764  0.3764  6 Mg 2.93-2.99
Cr  0.7500  0.7500  0.7500  12 Mg 3.47, 4 Br 3.62
Br  0.0000  0.0000  0.0000  12 Mg 3.47, 4 Cr 3.62

=====

DFT (GGA-PBE) results for a geometry-optimized AcZnPO structure.

## Properties
As for the total energy: -5.78 eV/atom. The magnetization is 0.000 μB/cell. Its formation energy (no corrections) is -709 kJ/mol of formula units.

a b c (Å): 11.0929 11.0929 11.0929
angles (deg): 21.53 21.53 21.53
Closest atoms and distances in Å follow each position.
Element x y z (fractional)
Ac  0.1168  0.1168  0.1168  4 O 2.49-2.54
Ac  0.8832  0.8832  0.8832  4 O 2.49-2.54
Zn  0.3048  0.3048  0.3048  4 P 2.49-2.53
Zn  0.6952  0.6952  0.6952  4 P 2.49-2.53
P  0.3828  0.3828  0.3828  4 Zn 2.49-2.53
P  0.6172  0.6172  0.6172  4 Zn 2.49-2.53
O  0.1949  0.1949  0.1949  4 Ac 2.49-2.54
O  0.8051  0.8051  0.8051  4 Ac 2.49-2.54

=====

DFT (GGA-PBE) results for a geometry-optimized TmThSn2 structure.

## Properties
As for the total energy: -5.55 eV/atom. The magnetization is 0.000 μB/cell. For the density of states at the Fermi level, the calculation gives 4.41 states/eV/cell. The energy relative to the lowest polymorph listed for this composition comes out at 0 meV/atom. The formation energy is -0.580 eV/atom.

a b c (Å): 4.4603 4.4674 11.5622
angles (deg): 90.00 90.00 90.00
Closest atoms and distances in Å follow each position.
Element x y z (fractional)
Tm  0.0000  0.0000  0.0000  7 Sn 3.12-3.48
Tm  0.0000  0.5000  0.5000  7 Sn 3.12-3.48
Th  0.5000  0.0000  0.2689  7 Sn 3.15-3.45
Th  0.5000  0.5000  0.7689  7 Sn 3.15-3.45
Sn  0.0000  0.0000  0.7305  3 Tm 3.12-3.48, 2 Sn 3.12, 4 Th 3.19
Sn  0.0000  0.5000  0.2305  3 Tm 3.12-3.48, 2 Sn 3.12, 4 Th 3.19
Sn  0.5000  0.0000  0.5412  2 Sn 3.12, 3 Th 3.15-3.45, 4 Tm 3.19
Sn  0.5000  0.5000  0.0412  2 Sn 3.12, 3 Th 3.15-3.45, 4 Tm 3.19

=====

DFT (GGA-PBE) results for a geometry-optimized Dy4Tl3Ru structure.

## Properties
As for the total energy: -4.72 eV/atom. The magnetization is 0.246 μB/cell. For the density of states at the Fermi level, the calculation gives 5.25 states/eV/cell. The formation energy is -0.371 eV/atom.

a b c (Å): 3.5541 3.5541 16.0576
angles (deg): 90.00 90.00 90.00
Closest atoms and distances in Å follow each position.
Element x y z (fractional)
Dy  0.0000  0.0000  0.1010  4 Ru 2.99, 1 Dy 3.24, 4 Tl 3.34
Dy  0.0000  0.0000  0.3676  8 Tl 3.26-3.29, 4 Dy 3.55
Dy  0.0000  0.0000  0.6324  8 Tl 3.26-3.29, 4 Dy 3.55
Dy  0.0000  0.0000  0.8990  4 Ru 2.99, 1 Dy 3.24, 4 Tl 3.34
Tl  0.5000  0.5000  0.2381  8 Dy 3.26-3.34, 4 Tl 3.55
Tl  0.5000  0.5000  0.5000  8 Dy 3.29, 4 Tl 3.55
Tl  0.5000  0.5000  0.7619  8 Dy 3.26-3.34, 4 Tl 3.55
Ru  0.5000  0.5000  0.0000  8 Dy 2.99

=====

DFT (GGA-PBE) results for a geometry-optimized CeNdSnPb structure.

## Properties
As for the total energy: -5.07 eV/atom. The magnetization is 7.233 μB/cell. For the density of states at the Fermi level, the calculation gives 36.10 states/eV/cell. The formation energy is -0.470 eV/atom.

a b c (Å): 7.8163 7.8163 7.8163
angles (deg): 90.00 90.00 90.00
Closest atoms and distances in Å follow each position.
Element x y z (fractional)
Ce  0.0000  0.0000  0.0000  4 Sn 3.38, 4 Pb 3.38
Ce  0.0000  0.5000  0.5000  4 Sn 3.38, 4 Pb 3.38
Ce  0.5000  0.0000  0.5000  4 Sn 3.38, 4 Pb 3.38
Ce  0.5000  0.5000  0.0000  4 Sn 3.38, 4 Pb 3.38
Nd  0.0000  0.0000  0.5000  4 Pb 3.38, 4 Sn 3.38
Nd  0.0000  0.5000  0.0000  4 Pb 3.38, 4 Sn 3.38
Nd  0.5000  0.0000  0.0000  4 Pb 3.38, 4 Sn 3.38
Nd  0.5000  0.5000  0.5000  4 Pb 3.38, 4 Sn 3.38
Sn  0.2500  0.2500  0.7500  4 Ce 3.38, 4 Nd 3.38
Sn  0.2500  0.7500  0.2500  4 Ce 3.38, 4 Nd 3.38
Sn  0.7500  0.2500  0.2500  4 Ce 3.38, 4 Nd 3.38
Sn  0.7500  0.7500  0.7500  4 Ce 3.38, 4 Nd 3.38
Pb  0.2500  0.2500  0.2500  4 Ce 3.38, 4 Nd 3.38
Pb  0.2500  0.7500  0.7500  4 Ce 3.38, 4 Nd 3.38
Pb  0.7500  0.2500  0.7500  4 Ce 3.38, 4 Nd 3.38
Pb  0.7500  0.7500  0.2500  4 Ce 3.38, 4 Nd 3.38

=====

DFT (GGA-PBE) results for a geometry-optimized La2HoEr7 structure.

## Properties
As for the total energy: -4.61 eV/atom. The magnetization is 0.000 μB/cell. For the density of states at the Fermi level, the calculation gives 15.69 states/eV/cell. The formation energy is 0.032 eV/atom.

a b c (Å): 6.1504 7.1016 7.9845
angles (deg): 77.12 74.85 73.71
Closest atoms and distances in Å follow each position.
Element x y z (fractional)
La  0.2002  0.2973  0.1030  10 Er 3.53-3.60, 1 Ho 3.56, 1 La 3.62
La  0.7998  0.7027  0.8970  10 Er 3.53-3.60, 1 Ho 3.56, 1 La 3.62
Ho  0.0000  0.5000  0.5000  10 Er 3.53-3.55, 2 La 3.56
Er  0.0000  0.0000  0.5000  8 Er 3.53-3.56, 2 La 3.53, 2 Ho 3.55
Er  0.1978  0.7996  0.1031  1 Ho 3.53, 7 Er 3.53-3.61, 4 La 3.54-3.58
Er  0.3981  0.1016  0.6956  9 Er 3.51-3.60, 1 Ho 3.55, 2 La 3.58-3.60
Er  0.3991  0.6010  0.6964  7 Er 3.51-3.61, 2 Ho 3.54-3.55, 3 La 3.55-3.60
Er  0.6009  0.3990  0.3036  7 Er 3.51-3.61, 2 Ho 3.54-3.55, 3 La 3.55-3.60
Er  0.6019  0.8984  0.3044  9 Er 3.51-3.60, 1 Ho 3.55, 2 La 3.58-3.60
Er  0.8022  0.2004  0.8969  1 Ho 3.53, 7 Er 3.53-3.61, 4 La 3.54-3.58

=====

DFT (GGA-PBE) results for a geometry-optimized Ce2CuP3Rh4 structure.

## Properties
As for the total energy: -7.14 eV/atom. The magnetization is 0.000 μB/cell. For the density of states at the Fermi level, the calculation gives 7.33 states/eV/cell. The formation energy is -0.984 eV/atom.

a b c (Å): 4.0550 4.0550 10.0369
angles (deg): 90.00 90.00 90.00
Closest atoms and distances in Å follow each position.
Element x y z (fractional)
Ce  0.0000  0.5000  0.2435  8 Rh 3.06-3.28, 6 P 3.12-3.18, 2 Cu 3.18
Ce  0.5000  0.0000  0.7565  8 Rh 3.06-3.28, 6 P 3.12-3.18, 2 Cu 3.18
Cu  0.5000  0.5000  0.0000  4 Rh 2.45
P  0.0000  0.0000  0.0000  4 Rh 2.45
P  0.0000  0.5000  0.6342  5 Rh 2.30-2.43
P  0.5000  0.0000  0.3658  5 Rh 2.30-2.43
Rh  0.0000  0.0000  0.5000  4 P 2.43
Rh  0.0000  0.5000  0.8632  3 P 2.30-2.45, 2 Cu 2.45
Rh  0.5000  0.0000  0.1368  3 P 2.30-2.45, 2 Cu 2.45
Rh  0.5000  0.5000  0.5000  4 P 2.43

=====

DFT (GGA-PBE) results for a geometry-optimized Ho5Hg2Au2 structure.

## Properties
As for the total energy: -3.91 eV/atom. The magnetization is 0.000 μB/cell. For the density of states at the Fermi level, the calculation gives 16.98 states/eV/cell. The formation energy is -0.574 eV/atom.

a b c (Å): 9.1467 9.1467 7.4589
angles (deg): 90.00 90.00 48.62
Closest atoms and distances in Å follow each position.
Element x y z (fractional)
Ho  0.0000  0.0000  0.0000  4 Au 2.92-2.93
Ho  0.0423  0.6898  0.6691  3 Au 3.03-3.25, 3 Hg 3.07-3.12
Ho  0.1898  0.5423  0.1691  3 Au 3.03-3.25, 3 Hg 3.07-3.12
Ho  0.3102  0.9577  0.6691  3 Au 3.03-3.25, 3 Hg 3.07-3.12
Ho  0.4577  0.8102  0.1691  3 Au 3.03-3.25, 3 Hg 3.07-3.12
Ho  0.5000  0.5000  0.5000  4 Au 2.92-2.93
Ho  0.5423  0.1898  0.8309  3 Au 3.03-3.25, 3 Hg 3.07-3.12
Ho  0.6898  0.0423  0.3309  3 Au 3.03-3.25, 3 Hg 3.07-3.12
Ho  0.8102  0.4577  0.8309  3 Au 3.03-3.25, 3 Hg 3.07-3.12
Ho  0.9577  0.3102  0.3309  3 Au 3.03-3.25, 3 Hg 3.07-3.12
Hg  0.2167  0.2167  0.0000  6 Ho 3.07-3.12
Hg  0.2833  0.2833  0.5000  6 Ho 3.07-3.12
Hg  0.7167  0.7167  0.5000  6 Ho 3.07-3.12
Hg  0.7833  0.7833  0.0000  6 Ho 3.07-3.12
Au  0.1344  0.8656  0.3665  1 Au 2.84, 4 Ho 2.92-3.03
Au  0.3656  0.6344  0.8665  1 Au 2.84, 4 Ho 2.92-3.03
Au  0.6344  0.3656  0.1335  1 Au 2.84, 4 Ho 2.92-3.03
Au  0.8656  0.1344  0.6335  1 Au 2.84, 4 Ho 2.92-3.03

=====

DFT (GGA-PBE) results for a geometry-optimized As2P2O structure.

## Properties
As for the total energy: -5.09 eV/atom. The magnetization is 0.000 μB/cell. For the density of states at the Fermi level, the calculation gives 4.03 states/eV/cell. The energy relative to the lowest polymorph listed for this composition comes out at 0 meV/atom. Its formation energy (no corrections) is -37 kJ/mol of formula units.

a b c (Å): 5.3287 5.3287 5.9657
angles (deg): 90.00 90.00 90.00
Closest atoms and distances in Å follow each position.
Element x y z (fractional)
As  0.0000  0.5000  0.2500  4 P 2.67, 2 As 2.98
As  0.0000  0.5000  0.7500  4 P 2.67, 2 As 2.98
As  0.5000  0.0000  0.2500  4 P 2.67, 2 As 2.98
As  0.5000  0.0000  0.7500  4 P 2.67, 2 As 2.98
P  0.0000  0.0000  0.2298  1 O 1.61
P  0.0000  0.0000  0.7702  1 O 1.61
P  0.5000  0.5000  0.2702  1 O 1.61
P  0.5000  0.5000  0.7298  1 O 1.61
O  0.0000  0.0000  0.5000  2 P 1.61
O  0.5000  0.5000  0.0000  2 P 1.61